First-principles (PBE) data for a relaxed structure of BaAgO3, as listed in Alexandria via LeMat-Bulk.

The structure in POSCAR format:
```
BaAgO3
1.0
6.339 -0.463 -0.067
-2.674 6.930 -0.031
0.003 -0.601 4.252
Ag O Ba
2 6 2
Cartesian
1.084 5.348 2.876
0.884 3.018 0.906
2.214 -0.095 3.526
5.514 -0.334 3.490
2.532 4.071 1.865
2.428 1.529 0.287
5.467 1.307 0.255
-0.564 4.294 1.917
4.014 1.998 2.533
-2.046 6.367 1.248
```

**Raw total energy**: -5.001 eV per atom
**Space group**: P-1 (2)
**Magnetic moment**: 0.000 μB/cell
**ΔE_f (raw)**: -1.071 eV/atom



First-principles (PBE) data for a relaxed structure of BaSrSb, as listed in Alexandria via LeMat-Bulk.

The structure in POSCAR format:
```
BaSrSb
1.0
5.129 0.000 -0.012
0.000 5.129 0.012
0.019 -0.019 9.401
Ba Sr Sb
2 2 2
Cartesian
1.291 3.838 3.371
3.857 1.272 6.030
3.847 3.847 0.000
1.282 1.282 0.000
3.853 1.276 2.381
1.295 3.834 7.019
```

**Raw total energy**: -3.411 eV per atom
**Space group**: C2/m (12)
**Magnetic moment**: 1.982 μB/cell
**ΔE_f (raw)**: -0.836 eV/atom
**Energy above the lowest structure with this stoichiometry**: 0.000 eV/atom



First-principles (PBE) data for a relaxed structure of Pu2Ga3Cu4Si, as listed in Alexandria via LeMat-Bulk.

The structure in POSCAR format:
```
Pu2Ga3Cu4Si
1.0
-3.414 -1.791 1.604
2.309 -3.218 1.321
1.584 4.656 8.572
Pu Ga Cu Si
2 3 4 1
Cartesian
-1.308 0.278 2.961
2.340 1.874 7.073
0.792 2.328 4.286
-0.333 3.142 8.235
1.365 -0.990 1.799
-0.553 -2.504 1.462
0.000 0.000 0.000
-0.717 2.014 6.157
1.749 0.138 3.877
0.240 -0.176 5.748
```

**Raw total energy**: -6.192 eV per atom
**Space group**: P-4m2 (115)
**Magnetic moment**: 11.033 μB/cell
**ΔE_f (raw)**: -0.236 eV/atom



First-principles (PBE) data for a relaxed structure of LaAgOs, as listed in Alexandria via LeMat-Bulk.

The structure in POSCAR format:
```
LaAgOs
1.0
-3.365 4.040 -1.948
-5.161 0.905 -1.997
-2.105 1.164 2.697
Os Ag La
1 1 1
Cartesian
-6.299 3.634 -1.641
-2.255 1.253 2.542
-4.181 2.387 0.550
```

**Raw total energy**: -5.924 eV per atom
**Space group**: I4mm (107)
**Magnetic moment**: 0.000 μB/cell
**Energy above the lowest structure with this stoichiometry**: 0.062 eV/atom
**E_form**: 0.41 eV/atom



First-principles (PBE) data for a relaxed structure of Rb3Hg4Sb2Te2, as listed in Alexandria via LeMat-Bulk.

The structure in POSCAR format:
```
Rb3Hg4Sb2Te2
1.0
-3.199 4.340 2.187
-2.819 -3.790 3.398
12.550 1.675 7.298
Rb Hg Sb Te
3 4 2 2
Cartesian
0.000 0.000 0.000
3.601 0.736 3.808
2.931 1.489 9.075
6.519 -0.275 10.084
6.329 3.790 9.478
0.203 -1.565 3.404
0.013 2.500 2.799
8.023 1.640 8.485
-1.491 0.585 4.398
6.101 1.247 6.452
0.431 0.978 6.430
```

**Raw total energy**: -1.997 eV per atom
**Space group**: I4/mmm (139)
**Magnetic moment**: 0.000 μB/cell
**ΔE_f (raw)**: -0.303 eV/atom



First-principles (PBE) data for a relaxed structure of PuZnAgSn, as listed in Alexandria via LeMat-Bulk.

The structure in POSCAR format:
```
PuZnAgSn
1.0
4.993 0.000 0.000
2.496 4.324 0.000
2.496 1.441 4.077
Zn Sn Ag Pu
1 1 1 1
Cartesian
7.489 4.324 3.057
2.496 1.441 1.019
4.993 2.883 2.038
0.000 0.000 0.000
```

**Raw total energy**: -5.713 eV per atom
**Space group**: F-43m (216)
**Magnetic moment**: 5.416 μB/cell
**E_form**: -0.10 eV/atom



Number 1: DOS(E_F) 0.00 states/eV/f.u.. Number 2: DOS(E_F) 1.35 states/eV/f.u.. Number 3: DOS(E_F) 24.80 states/eV/f.u.. Number 4: DOS(E_F) 1.57 states/eV/f.u.. Number 5: DOS(E_F) 2.28 states/eV/f.u.. Number 6: DOS(E_F) 10.23 states/eV/f.u..